Sr2NiW | PBE | relaxed

DOS(E_F) = 7.03 states/eV per cell
Energy of formation from the pure elements = 0.930 eV per atom
Energy above the most stable polymorph in this dataset = 331 meV/atom

Cell lengths 11.203, 11.203, 8.248 Å; angles 47.22, 47.22, 90.00 degrees
Site moments in Bohr magnetons follow the coordinates.
Fractional coordinates of all 8 atoms:
Sr 0.375 0.549 0.750  0.02
Sr 0.875 0.701 0.750  0.01
Sr 0.451 0.125 0.250  0.01
Sr 0.299 0.625 0.250  0.01
W 0.750 0.250 0.500  1.68
Ni 0.500 0.500 0.000  0.09
Ni 0.250 0.750 0.500  0.09
W 0.000 0.000 0.000  1.68

=====

NbAlSnGe2 | PBE | relaxed

DOS(E_F) = 8.05 states/eV per cell
Energy of formation from the pure elements = 1.036 eV per atom

Cell lengths 4.656, 5.376, 4.656 Å; angles 90.00, 90.00, 90.00 degrees
Fractional coordinates of all 5 atoms:
Al 0.000 0.000 0.000
Ge 0.500 0.000 0.000
Ge 0.000 0.000 0.500
Nb 0.500 0.500 0.500
Sn 0.000 0.500 0.000

=====

Cd2In3Pd7 | PBE | relaxed

DOS(E_F) = 4.61 states/eV per cell
Energy of formation from the pure elements = -0.330 eV per atom

Cell lengths 4.549, 4.649, 11.081 Å; angles 101.98, 89.94, 90.31 degrees
Fractional coordinates of all 12 atoms:
Cd 0.500 0.347 0.695
In 0.000 0.853 0.706
Pd 0.500 0.074 0.150
Pd 0.500 0.926 0.850
In 0.500 0.500 0.000
Pd 0.000 0.573 0.146
Pd 0.500 0.217 0.434
Pd 0.000 0.000 0.000
In 0.000 0.147 0.294
Cd 0.500 0.653 0.305
Pd 0.000 0.427 0.854
Pd 0.500 0.783 0.566

=====

Tb2Pr3Tm | PBE | relaxed

DOS(E_F) = 15.44 states/eV per cell
Energy of formation from the pure elements = 0.014 eV per atom
Energy above the most stable polymorph in this dataset = 0 meV/atom

Cell lengths 7.292, 6.331, 9.748 Å; angles 102.55, 111.96, 90.00 degrees
Fractional coordinates of all 12 atoms:
Pr 0.707 0.476 0.666
Pr 0.872 0.250 0.000
Tb 0.458 0.972 0.670
Tb 0.788 0.528 0.330
Pr 0.293 0.524 0.334
Tm 0.621 0.750 0.000
Pr 0.041 0.024 0.334
Pr 0.128 0.750 0.000
Tb 0.542 0.028 0.330
Tb 0.212 0.472 0.670
Pr 0.959 0.976 0.666
Tm 0.379 0.250 0.000

=====

NbAg2PbS | PBE | relaxed

DOS(E_F) = 3.97 states/eV per cell
Formation energy from raw total energies = 221 kJ/mol of formula units

Cell lengths 5.325, 4.621, 5.325 Å; angles 90.00, 90.00, 90.00 degrees
Fractional coordinates of all 5 atoms:
S 0.000 0.500 0.000
Ag 0.000 0.000 0.500
Ag 0.500 0.000 0.000
Nb 0.000 0.000 0.000
Pb 0.500 0.500 0.500

=====

Ce4MnBi2 | PBE | relaxed

DOS(E_F) = 17.87 states/eV per cell
Energy of formation from the pure elements = -0.465 eV per atom

Cell lengths 4.744, 4.950, 8.565 Å; angles 106.79, 90.00, 90.00 degrees
Site moments in Bohr magnetons follow the coordinates.
Fractional coordinates of all 7 atoms:
Ce 0.000 0.500 0.000  0.12
Bi 0.500 0.651 0.303  -0.04
Ce 0.000 0.177 0.354  0.92
Ce 0.000 0.823 0.646  0.92
Bi 0.500 0.349 0.697  -0.04
Mn 0.000 0.000 0.000  -0.10
Ce 0.500 0.000 0.000  0.07

=====

RbPuMn2I8 | PBE | relaxed

DOS(E_F) = 12.17 states/eV per cell
Formation energy from raw total energies = -919 kJ/mol of formula units

Cell lengths 7.548, 7.548, 11.046 Å; angles 90.00, 90.00, 120.00 degrees
Site moments in Bohr magnetons follow the coordinates.
Fractional coordinates of all 12 atoms:
I 0.677 0.669 0.673  0.00
I 0.667 0.333 0.014  0.07
I 0.331 0.008 0.673  0.00
Rb 0.000 0.000 0.000  0.00
I 0.992 0.323 0.673  0.00
I 0.008 0.677 0.327  0.00
I 0.333 0.667 0.986  0.07
Mn 0.667 0.333 0.250  4.23
I 0.669 0.992 0.327  0.00
Mn 0.333 0.667 0.750  4.23
Pu 0.000 0.000 0.500  5.27
I 0.323 0.331 0.327  0.00

=====

Na3PI | PBE | relaxed

DOS(E_F) = 3.53 states/eV per cell
Formation energy from raw total energies = -28 kJ/mol of formula units
Energy above the most stable polymorph in this dataset = 376 meV/atom

Cell lengths 5.708, 5.708, 5.708 Å; angles 90.00, 90.00, 90.00 degrees
Site moments in Bohr magnetons follow the coordinates.
Fractional coordinates of all 5 atoms:
Na 0.500 0.000 0.000  0.00
P 0.500 0.500 0.500  0.40
Na 0.000 0.000 0.500  -0.01
Na 0.000 0.500 0.000  0.00
I 0.000 0.000 0.000  0.00

=====

LiLaAlZn | PBE | relaxed

DOS(E_F) = 1.35 states/eV per cell
Energy of formation from the pure elements = -0.292 eV per atom

Cell lengths 4.879, 4.879, 4.879 Å; angles 60.00, 60.00, 60.00 degrees
Fractional coordinates of all 4 atoms:
Zn 0.000 0.000 0.000
Al 0.250 0.250 0.250
Li 0.500 0.500 0.500
La 0.750 0.750 0.750

=====

PbAuBr2 | PBE | relaxed

DOS(E_F) = 2.93 states/eV per cell
Formation energy from raw total energies = -65 kJ/mol of formula units
Energy above the most stable polymorph in this dataset = 183 meV/atom

Cell lengths 3.739, 3.739, 8.357 Å; angles 90.00, 90.00, 90.00 degrees
Fractional coordinates of all 4 atoms:
Au 0.500 0.500 0.741
Pb 0.000 0.000 0.534
Br 0.000 0.000 0.914
Br 0.500 0.500 0.311

=====

K3RbW | PBE | relaxed

DOS(E_F) = 3.41 states/eV per cell
Energy of formation from the pure elements = 1.234 eV per atom
Energy above the most stable polymorph in this dataset = 0 meV/atom

Cell lengths 6.982, 6.982, 6.982 Å; angles 90.00, 90.00, 90.00 degrees
Site moments in Bohr magnetons follow the coordinates.
Fractional coordinates of all 5 atoms:
K 0.000 0.500 0.000  0.04
W 0.000 0.000 0.000  3.42
Rb 0.500 0.500 0.500  0.00
K 0.000 0.000 0.500  0.03
K 0.500 0.000 0.000  0.03

=====

ThMg3Ga3 | PBE | relaxed

DOS(E_F) = 10.24 states/eV per cell
Energy of formation from the pure elements = 0.417 eV per atom

Cell lengths 7.163, 7.163, 7.163 Å; angles 90.00, 90.00, 90.00 degrees
Fractional coordinates of all 14 atoms:
Mg 0.500 0.250 0.000
Ga 0.000 0.750 0.500
Mg 0.500 0.750 0.000
Ga 0.000 0.250 0.500
Mg 0.000 0.500 0.250
Ga 0.750 0.500 0.000
Ga 0.250 0.500 0.000
Th 0.000 0.000 0.000
Ga 0.500 0.000 0.250
Th 0.500 0.500 0.500
Mg 0.250 0.000 0.500
Mg 0.750 0.000 0.500
Ga 0.500 0.000 0.750
Mg 0.000 0.500 0.750